# CoTeW2 PBE relaxed
data_CoTeW2
_cell_length_a 2.941
_cell_length_b 4.248
_cell_length_c 5.424
_cell_angle_alpha 90.00
_cell_angle_beta 104.33
_cell_angle_gamma 90.00
_symmetry_space_group_name_H-M 'P 1'
_symmetry_Int_Tables_number 1
_symmetry_space_group_name_Hall 'P 1'
loop_
_atom_site_label
_atom_site_type_symbol
_atom_site_fract_x
_atom_site_fract_y
_atom_site_fract_z
Co1 Co 0.000 0.000 0.000
Te1 Te 0.500 0.000 0.500
W1 W 0.268 0.500 0.768
W2 W 0.732 0.500 0.232
# - N(E_F) (states/eV/cell) = 3.543
# - energy (eV/atom) = -8.302
# - M_tot (μB/f.u.) = 0.82
# - volume (Å³/atom) = 16.41
# - space-group type = P2/m
# - ΔE_f (raw) (meV/atom) = 736